No. 1
# CsRbCdI4 PBE-GGA relaxed
# total DFT energy (no corrections) = -2.432 eV per atom
data_CsRbCdI4
_symmetry_space_group_name_H-M 'P 1'
_symmetry_Int_Tables_number 1
_symmetry_space_group_name_Hall 'P 1'
_cell_length_a 8.483
_cell_length_b 8.480
_cell_length_c 10.608
_cell_angle_alpha 90.00
_cell_angle_beta 108.16
_cell_angle_gamma 90.00
loop_
_atom_site_label
_atom_site_fract_x
_atom_site_fract_y
_atom_site_fract_z
Cd1 0.219 0.750 0.308
Cd2 0.781 0.250 0.692
I1 0.994 0.492 0.252
I2 0.590 0.250 0.423
I3 0.409 0.750 0.131
I4 0.006 0.992 0.748
I5 0.994 0.008 0.252
I6 0.006 0.508 0.748
I7 0.591 0.250 0.869
I8 0.410 0.750 0.577
Rb1 0.771 0.750 0.444
Rb2 0.229 0.250 0.556
Cs1 0.739 0.750 0.934
Cs2 0.261 0.250 0.066

=====

No. 2
# Pm2ErC2Cl2 PBE-GGA relaxed
# total DFT energy (no corrections) = -5.974 eV per atom
data_Pm2ErC2Cl2
_symmetry_space_group_name_H-M 'P 1'
_symmetry_Int_Tables_number 1
_symmetry_space_group_name_Hall 'P 1'
_cell_length_a 4.512
_cell_length_b 4.512
_cell_length_c 7.941
_cell_angle_alpha 106.50
_cell_angle_beta 106.50
_cell_angle_gamma 90.00
loop_
_atom_site_label
_atom_site_fract_x
_atom_site_fract_y
_atom_site_fract_z
Cl1 0.194 0.194 0.388
Cl2 0.806 0.806 0.612
Pm1 0.395 0.395 0.790
Pm2 0.605 0.605 0.210
Er1 0.000 0.000 0.000
C1 0.500 0.000 0.000
C2 0.000 0.500 0.000

=====

No. 3
# ZrCu PBE-GGA relaxed
# total DFT energy (no corrections) = -6.054 eV per atom
data_ZrCu
_symmetry_space_group_name_H-M 'P 1'
_symmetry_Int_Tables_number 1
_symmetry_space_group_name_Hall 'P 1'
_cell_length_a 3.803
_cell_length_b 3.803
_cell_length_c 3.803
_cell_angle_alpha 60.00
_cell_angle_beta 60.00
_cell_angle_gamma 60.00
loop_
_atom_site_label
_atom_site_fract_x
_atom_site_fract_y
_atom_site_fract_z
Cu1 0.000 0.000 0.000
Zr1 0.500 0.500 0.500

=====

No. 4
# Ho2SnSe PBE-GGA relaxed
# offset from the most stable computed form = 0 meV per atom
data_Ho2SnSe
_symmetry_space_group_name_H-M 'P 1'
_symmetry_Int_Tables_number 1
_symmetry_space_group_name_Hall 'P 1'
_cell_length_a 5.998
_cell_length_b 5.998
_cell_length_c 11.957
_cell_angle_alpha 90.00
_cell_angle_beta 90.00
_cell_angle_gamma 90.00
loop_
_atom_site_label
_atom_site_fract_x
_atom_site_fract_y
_atom_site_fract_z
Se1 0.750 0.000 0.625
Se2 0.250 0.000 0.375
Se3 0.750 0.500 0.875
Se4 0.250 0.500 0.125
Sn1 0.750 0.500 0.375
Sn2 0.750 0.000 0.125
Sn3 0.250 0.500 0.625
Sn4 0.250 0.000 0.875
Ho1 0.250 0.000 0.621
Ho2 0.750 0.000 0.871
Ho3 0.750 0.000 0.379
Ho4 0.250 0.500 0.371
Ho5 0.750 0.500 0.629
Ho6 0.750 0.500 0.121
Ho7 0.250 0.000 0.129
Ho8 0.250 0.500 0.879

=====

No. 5
# TlMoRh2 PBE-GGA relaxed
# offset from the most stable computed form = 500 meV per atom
data_TlMoRh2
_symmetry_space_group_name_H-M 'P 1'
_symmetry_Int_Tables_number 1
_symmetry_space_group_name_Hall 'P 1'
_cell_length_a 7.253
_cell_length_b 7.253
_cell_length_c 5.865
_cell_angle_alpha 51.81
_cell_angle_beta 51.81
_cell_angle_gamma 90.00
loop_
_atom_site_label
_atom_site_fract_x
_atom_site_fract_y
_atom_site_fract_z
Rh1 0.579 0.125 0.250
Rh2 0.171 0.625 0.250
Rh3 0.875 0.829 0.750
Rh4 0.375 0.421 0.750
Tl1 0.750 0.250 0.500
Tl2 0.000 0.000 0.000
Mo1 0.500 0.500 0.000
Mo2 0.250 0.750 0.500

=====

No. 6
# Zr2Cd2As PBE-GGA relaxed
# total DFT energy (no corrections) = -5.036 eV per atom
data_Zr2Cd2As
_symmetry_space_group_name_H-M 'P 1'
_symmetry_Int_Tables_number 1
_symmetry_space_group_name_Hall 'P 1'
_cell_length_a 6.978
_cell_length_b 6.978
_cell_length_c 4.789
_cell_angle_alpha 90.00
_cell_angle_beta 90.00
_cell_angle_gamma 90.00
loop_
_atom_site_label
_atom_site_fract_x
_atom_site_fract_y
_atom_site_fract_z
As1 0.000 0.000 0.000
As2 0.500 0.500 0.000
Cd1 0.647 0.853 0.500
Cd2 0.147 0.647 0.500
Cd3 0.853 0.353 0.500
Cd4 0.353 0.147 0.500
Zr1 0.841 0.659 0.000
Zr2 0.159 0.341 0.000
Zr3 0.341 0.841 0.000
Zr4 0.659 0.159 0.000